Record 1
Entry from the Alexandria database: an optimized crystal structure of Sm6TlHg2 (PBE-GGA).

Cell: 10.201 10.322 10.570 Å, 90.00 90.00 90.00°
Space group Immm (No. 71)
Inequivalent atoms, fractional coordinates:
Sm  0.000  0.221  0.176 [8 per cell]
Sm  0.179  0.229  0.500 [8 per cell]
Sm  0.201  0.500  0.251 [8 per cell]
Tl  0.000  0.500  0.000 [2 per cell]
Tl  0.000  0.500  0.500 [2 per cell]
Hg  0.000  0.000  0.363 [4 per cell]
Hg  0.148  0.000  0.000 [4 per cell]

N(E_F)   43.937 states/eV per cell
ΔE to the lowest computed polymorph   24 meV/atom
E_tot   -134.14 eV/cell
Volume   278 Å³/f.u.
Formation energy   -2.2 eV per formula unit

=====

Record 2
Entry from the Alexandria database: an optimized crystal structure of SmTlHg2 (PBE-GGA).

Cell: 4.840 4.840 4.453 Å, 90.00 90.00 90.00°
Space group P4/mmm (No. 123)
Inequivalent atoms, fractional coordinates:
Sm  0.000  0.000  0.000 [1 per cell]
Tl  0.500  0.500  0.000 [1 per cell]
Hg  0.000  0.500  0.500 [2 per cell]

N(E_F)   2.664 states/eV per cell
E_tot   -8.98 eV/cell
Volume   104 Å³/f.u.
Formation energy   -1.3 eV per formula unit

=====

> Which value of E_tot does entry 2 give?

-8.98 eV/cell